Below is an optimized crystal structure of Li3MnCoO5, with properties calculated at the GGA+U level.

The structure in POSCAR format:
```
Li3MnCoO5
1.0
0.778 -7.415 -2.713
3.582 -6.573 -2.630
1.162 -4.540 6.765
Li Mn Co O
6 2 2 10
Direct
0.302 0.302 0.097
0.084 0.084 0.724
0.916 0.916 0.276
0.698 0.698 0.903
0.500 0.500 0.500
0.500 0.500 0.000
0.698 0.698 0.399
0.302 0.302 0.601
0.095 0.095 0.178
0.905 0.905 0.822
0.115 0.115 0.450
0.896 0.896 0.043
0.713 0.713 0.634
0.507 0.507 0.256
0.305 0.305 0.826
0.493 0.493 0.744
0.287 0.287 0.366
0.104 0.104 0.957
0.885 0.885 0.550
0.695 0.695 0.174
```

Computed properties:
ΔE to the lowest computed polymorph, meV/atom: 66
VASP energy, eV per cell: -117.92
Crystal system: monoclinic
Space group: No. 12